No. 1
{"formula": "LaCuPd", "functional": "PBE", "state": "optimized geometry", "relative_energy_ev_per_atom": 0.0110, "crystal_system": "monoclinic", "delta_e_f_kj_per_mol_atoms": -53, "lattice_angstrom": [[-0.689, 4.429, -0.535], [-5.457, 1.532, 0.674], [0.192, 2.942, 5.063]], "species": ["La", "La", "Cu", "Cu", "Pd", "Pd"], "frac_coords": [[0.535, 0.217, 0.714], [0.465, 0.783, 0.286], [0.844, 0.205, 0.107], [0.156, 0.795, 0.893], [0.175, 0.367, 0.283], [0.825, 0.633, 0.717]]}

No. 2
{"formula": "Tl3H2I4", "functional": "PBE", "state": "optimized geometry", "total_energy_ev_per_cell": -43.8, "crystal_system": "monoclinic", "lattice_angstrom": [[8.257, 0.001, -0.564], [-0.302, 8.187, -4.407], [0.075, 0.056, 9.917]], "species": ["Tl", "Tl", "Tl", "Tl", "Tl", "Tl", "H", "H", "H", "H", "I", "I", "I", "I", "I", "I", "I", "I"], "frac_coords": [[0.125, 0.754, 0.741], [0.375, 0.014, 0.259], [0.875, 0.246, 0.259], [0.625, 0.986, 0.741], [0.750, 0.509, 0.000], [0.250, 0.491, 0.000], [0.580, 0.701, 0.409], [0.920, 0.292, 0.591], [0.420, 0.299, 0.591], [0.080, 0.708, 0.409], [0.492, 0.742, 0.907], [0.008, 0.835, 0.093], [0.508, 0.258, 0.093], [0.992, 0.165, 0.907], [0.831, 0.696, 0.411], [0.669, 0.285, 0.589], [0.169, 0.304, 0.589], [0.331, 0.715, 0.411]]}

No. 3
{"formula": "SrAlIr4", "functional": "PBE", "state": "optimized geometry", "crystal_system": "cubic", "delta_e_f_kj_per_mol_atoms": -4, "lattice_angstrom": [[0.000, 3.765, 3.765], [3.765, 0.000, 3.765], [3.765, 3.765, 0.000]], "species": ["Sr", "Al", "Ir", "Ir", "Ir", "Ir"], "frac_coords": [[0.750, 0.750, 0.750], [0.000, 0.000, 0.000], [0.876, 0.375, 0.375], [0.375, 0.375, 0.876], [0.375, 0.876, 0.375], [0.375, 0.375, 0.375]]}

No. 4
{"formula": "MnCrNi", "functional": "PBE", "state": "optimized geometry", "relative_energy_ev_per_atom": 0.0183, "crystal_system": "tetragonal", "delta_e_f_kj_per_mol_atoms": 9, "lattice_angstrom": [[-1.353, -2.506, -3.604], [2.155, -3.683, -1.701], [-1.501, 1.865, 3.920]], "species": ["Cr", "Mn", "Ni"], "frac_coords": [[0.992, 0.992, 0.000], [0.341, 0.341, 0.000], [0.667, 0.667, 0.000]]}

No. 5
{"formula": "K3Li2F4", "functional": "PBE", "state": "optimized geometry", "e_form_raw_mev_per_atom": -2411, "crystal_system": "monoclinic", "lattice_angstrom": [[-1.518, -0.004, 3.472], [-1.801, -6.801, -2.864], [7.092, 1.453, 3.102]], "species": ["K", "K", "K", "Li", "Li", "F", "F", "F", "F"], "frac_coords": [[0.670, 0.340, 0.753], [0.000, 0.000, 0.000], [0.330, 0.660, 0.247], [0.693, 0.386, 0.356], [0.307, 0.614, 0.644], [0.670, 0.340, 0.096], [0.330, 0.660, 0.904], [0.830, 0.659, 0.608], [0.170, 0.341, 0.392]]}

No. 6
{"formula": "NaHfReH2", "functional": "PBE", "state": "optimized geometry", "total_energy_ev_per_cell": -23.1, "crystal_system": "tetragonal", "lattice_angstrom": [[-3.394, 1.570, 0.199], [-2.142, -4.873, 1.895], [0.698, 1.063, 3.522]], "species": ["Re", "Hf", "H", "H", "Na"], "frac_coords": [[0.500, 0.500, 0.500], [0.000, 0.000, 0.000], [0.000, 0.000, 0.500], [0.500, 0.000, 0.000], [0.000, 0.500, 0.000]]}

No. 7
{"formula": "TbY4Tl5", "functional": "PBE", "state": "optimized geometry", "crystal_system": "tetragonal", "delta_e_f_kj_per_mol_atoms": -36, "lattice_angstrom": [[3.767, 0.000, 0.000], [0.000, 3.767, 0.000], [0.000, 0.000, 19.384]], "species": ["Tb", "Y", "Y", "Y", "Y", "Tl", "Tl", "Tl", "Tl", "Tl"], "frac_coords": [[0.000, 0.000, 0.000], [0.000, 0.000, 0.200], [0.000, 0.000, 0.400], [0.000, 0.000, 0.600], [0.000, 0.000, 0.800], [0.500, 0.500, 0.100], [0.500, 0.500, 0.300], [0.500, 0.500, 0.500], [0.500, 0.500, 0.700], [0.500, 0.500, 0.900]]}

No. 8
{"formula": "HgOs2I2", "functional": "PBE", "state": "optimized geometry", "e_form_raw_mev_per_atom": 1362, "relative_energy_ev_per_atom": 0.2160, "crystal_system": "tetragonal", "lattice_angstrom": [[-9.248, -1.773, -0.269], [0.774, -5.218, 7.805], [-0.531, 2.507, 1.729]], "species": ["I", "I", "I", "I", "Os", "Os", "Os", "Os", "Hg", "Hg"], "frac_coords": [[0.248, 0.748, 0.500], [0.748, 0.752, 0.500], [0.752, 0.252, 0.500], [0.252, 0.248, 0.500], [0.413, 0.913, 0.000], [0.913, 0.587, 0.000], [0.587, 0.087, 0.000], [0.087, 0.413, 0.000], [0.000, 0.000, 0.000], [0.500, 0.500, 0.000]]}

No. 9
{"formula": "La3Y2Er4", "functional": "PBE", "state": "optimized geometry", "relative_energy_ev_per_atom": 0.0000, "crystal_system": "triclinic", "delta_e_f_kj_per_mol_atoms": 7, "lattice_angstrom": [[6.319, 2.902, 0.641], [3.331, 12.541, 2.742], [0.844, 0.480, 8.677]], "species": ["La", "La", "La", "La", "La", "La", "Y", "Y", "Y", "Y", "Er", "Er", "Er", "Er", "Er", "Er", "Er", "Er"], "frac_coords": [[0.064, 0.274, 0.887], [0.463, 0.953, 0.813], [0.936, 0.726, 0.113], [0.537, 0.047, 0.187], [0.804, 0.452, 0.533], [0.196, 0.548, 0.467], [0.595, 0.386, 0.178], [0.967, 0.853, 0.515], [0.405, 0.614, 0.822], [0.033, 0.147, 0.485], [0.549, 0.295, 0.840], [0.967, 0.956, 0.834], [0.451, 0.705, 0.160], [0.033, 0.044, 0.166], [0.091, 0.395, 0.177], [0.516, 0.806, 0.489], [0.909, 0.605, 0.823], [0.484, 0.194, 0.511]]}

No. 10
{"formula": "YAuSe2", "functional": "PBE", "state": "optimized geometry", "e_form_raw_mev_per_atom": -1128, "crystal_system": "monoclinic", "lattice_angstrom": [[-0.290, -2.461, -3.121], [7.647, -0.213, -0.542], [2.038, -4.985, 3.742]], "species": ["Y", "Y", "Au", "Au", "Se", "Se", "Se", "Se"], "frac_coords": [[0.913, 0.260, 0.751], [0.916, 0.760, 0.751], [0.414, 0.356, 0.365], [0.415, 0.856, 0.365], [0.830, 0.601, 0.385], [0.421, 0.970, 0.911], [0.999, 0.101, 0.385], [0.408, 0.470, 0.911]]}

No. 11
{"formula": "Sm2Al4GaAg3", "functional": "PBE", "state": "optimized geometry", "crystal_system": "tetragonal", "delta_e_f_kj_per_mol_atoms": -36, "lattice_angstrom": [[-2.517, 3.159, -1.620], [-3.346, -2.775, -0.212], [-2.936, 2.779, 9.979]], "species": ["Sm", "Sm", "Al", "Al", "Al", "Al", "Ga", "Ag", "Ag", "Ag"], "frac_coords": [[0.500, 0.000, 0.252], [0.000, 0.500, 0.748], [0.500, 0.500, 0.000], [0.000, 0.000, 0.000], [0.500, 0.000, 0.636], [0.000, 0.500, 0.364], [0.500, 0.500, 0.500], [0.000, 0.000, 0.500], [0.500, 0.000, 0.867], [0.000, 0.500, 0.133]]}

No. 12
{"formula": "Pr6YTh", "functional": "PBE", "state": "optimized geometry", "relative_energy_ev_per_atom": 0.0000, "crystal_system": "tetragonal", "delta_e_f_kj_per_mol_atoms": 4, "lattice_angstrom": [[-2.257, -2.628, -3.877], [1.784, -4.462, 1.985], [-8.661, -0.937, 5.679]], "species": ["Pr", "Pr", "Pr", "Pr", "Pr", "Pr", "Y", "Th"], "frac_coords": [[0.500, 0.500, 0.000], [0.500, 0.500, 0.500], [0.500, 0.000, 0.253], [0.500, 0.000, 0.747], [0.000, 0.500, 0.253], [0.000, 0.500, 0.747], [0.000, 0.000, 0.000], [0.000, 0.000, 0.500]]}

Calculated total moment, 0.00; 1.04; 0.00; 1.06; 0.00; 2.14; 0.00; 0.00; 0.00; 0.00; 0.00; 0.00 μB per cell (same order as the records).